[1]
Below is a relaxed HfNiAg crystal, with properties calculated at the PBE-GGA level.

a = 3.361 Å, b = 3.361 Å, c = 8.822 Å
α = 90.00°, β = 90.00°, γ = 90.00°
Space group I4mm (No. 107)
Symmetry-distinct sites (fractional):
Hf1 0.000 0.000 0.000 [2 per cell]
Ni1 0.000 0.000 0.361 [2 per cell]
Ag1 0.000 0.000 0.686 [2 per cell]

Summary:
The magnetic moment comes out at 0.0 Bohr magnetons per cell. The calculation puts the density at 11.5 g cm⁻³. As for the energy relative to the elements: -0.238 eV/atom. The value obtained for the energy is -6.43 eV/atom. For the density of states at the Fermi level, the calculation gives 1.39 states/eV/f.u.



[2]
Below is a relaxed HfNi2Ag crystal, with properties calculated at the PBE-GGA level.

a = 3.273 Å, b = 3.273 Å, c = 5.631 Å
α = 90.00°, β = 90.00°, γ = 90.00°
Space group P4/mmm (No. 123)
Symmetry-distinct sites (fractional):
Hf1 0.000 0.000 0.000 [1 per cell]
Ni1 0.500 0.500 0.243 [2 per cell]
Ag1 0.000 0.000 0.500 [1 per cell]

Summary:
The magnetic moment comes out at 0.0 Bohr magnetons per cell. The energy above the most stable polymorph in this dataset comes out at 0.0 kJ/mol of atoms. The calculation puts the density at 11.1 g cm⁻³. As for the energy relative to the elements: -0.230 eV/atom. The value obtained for the energy is -6.32 eV/atom. For the density of states at the Fermi level, the calculation gives 2.22 states/eV/f.u.



[3]
Below is a relaxed Hf2Ni2Ag crystal, with properties calculated at the PBE-GGA level.

a = 7.585 Å, b = 7.585 Å, c = 2.995 Å
α = 90.00°, β = 90.00°, γ = 90.00°
Space group P4/mbm (No. 127)
Symmetry-distinct sites (fractional):
Hf1 0.155 0.345 0.000 [4 per cell]
Ni1 0.133 0.633 0.500 [4 per cell]
Ag1 0.000 0.000 0.000 [2 per cell]

Summary:
The magnetic moment comes out at 0.0 Bohr magnetons per cell. The energy above the most stable polymorph in this dataset comes out at 29.4 kJ/mol of atoms. The calculation puts the density at 11.2 g cm⁻³. As for the energy relative to the elements: -0.090 eV/atom. The value obtained for the energy is -6.95 eV/atom. For the density of states at the Fermi level, the calculation gives 4.08 states/eV/f.u.